Computed, not measured: a relaxed structure of Ba2Ag2Sn at the GGA-PBE level of DFT.

Unit cell a=12.463 b=4.905 c=12.921 alpha=90.00 beta=115.31 gamma=90.00
Space group C2/m (No. 12)
Unique sites:
Ba: 0.096 0.000 0.391
Ba: 0.197 0.500 0.133
Ag: 0.039 0.000 0.911
Ag: 0.106 0.500 0.610
Sn: 0.071 0.500 0.820

**ΔE_f**: -1.865 eV per formula unit
**Theoretical density**: 5.7 g/cm3
**Density of states at the Fermi level**: 0.671 states/eV per atom
**Total magnetic moment**: 0.00 μB per formula unit

Computed, not measured: a relaxed structure of Be4MoPt5 at the GGA-PBE level of DFT.

Unit cell a=2.818 b=2.818 c=15.541 alpha=90.00 beta=90.00 gamma=90.00
Space group P4/mmm (No. 123)
Unique sites:
Be: 0.000 0.000 0.093
Be: 0.000 0.000 0.279
Mo: 0.000 0.000 0.500
Pt: 0.500 0.500 0.000
Pt: 0.500 0.500 0.184
Pt: 0.500 0.500 0.369

**ΔE_f**: -6.689 eV per formula unit
**Theoretical density**: 14.9 g/cm3
**Density of states at the Fermi level**: 0.545 states/eV per atom
**Total magnetic moment**: 0.00 μB per formula unit